Crystalline CdNiAs2O8 at its relaxed geometry. Source: the Alexandria database, functional PBE+U.

abc: 5.8484 5.8484 5.8484
angles: 107.28 107.28 113.95
Closest atoms and distances in Å follow each position.
Element x y z (fractional)
1 Cd 0.0000 0.0000 0.0000  8 O 2.27-2.45
2 Ni 0.2500 0.7500 0.5000  8 O 2.20-2.34
3 As 0.7500 0.2500 0.5000  4 O 1.72
4 As 0.5000 0.5000 0.0000  4 O 1.73
5 O 0.3850 0.0622 0.3227  1 As 1.72
6 O 0.3235 0.5133 0.1898  1 As 1.73
7 O 0.3235 0.1338 0.8102  1 As 1.73
8 O 0.7395 0.0622 0.6773  1 As 1.72
9 O 0.8662 0.6765 0.1898  1 As 1.73
10 O 0.9378 0.2605 0.3227  1 As 1.72
11 O 0.9378 0.6150 0.6773  1 As 1.72
12 O 0.4867 0.6765 0.8102  1 As 1.73

Properties
- SG: I-4m2
- Calculated total energy: -61.8 eV for the cell shown